Record 1
Material: Ca2CrWO6
Method: DFT, GGA-PBEsol
State: optimized geometry

abc: 5.387 5.390 5.401
angles: 90.57 119.52 119.72
Sites, in units of the cell vectors:
Ca  0.013  0.251  0.264
Ca  0.987  0.749  0.736
Cr  0.500  0.000  0.500
W  0.500  0.500  0.000
O  0.001  0.796  0.294
O  0.417  0.750  0.167
O  0.499  0.705  0.704
O  0.501  0.295  0.296
O  0.583  0.250  0.833
O  0.999  0.204  0.706

E above lowest polymorph, kJ per mole of atoms: 1.21

---

Record 2
Material: Zn2CoP2H8O12
Method: DFT, GGA-PBEsol
State: optimized geometry

abc: 10.628 18.753 4.878
angles: 90.00 90.00 90.00
Sites, in units of the cell vectors:
Zn  0.144  0.003  0.224
Zn  0.144  0.497  0.224
Zn  0.356  0.503  0.724
Zn  0.356  0.997  0.724
Zn  0.644  0.003  0.276
Zn  0.644  0.497  0.276
Zn  0.856  0.503  0.776
Zn  0.856  0.997  0.776
Co  0.234  0.750  0.588
Co  0.266  0.250  0.088
Co  0.734  0.750  0.912
Co  0.766  0.250  0.412
P  0.105  0.595  0.726
P  0.105  0.905  0.726
P  0.395  0.095  0.226
P  0.395  0.405  0.226
P  0.605  0.595  0.774
P  0.605  0.905  0.774
P  0.895  0.095  0.274
P  0.895  0.405  0.274
H  0.107  0.142  0.965
H  0.107  0.358  0.965
H  0.119  0.709  0.130
H  0.119  0.791  0.130
H  0.136  0.209  0.514
H  0.136  0.291  0.514
H  0.243  0.134  0.836
H  0.243  0.366  0.836
H  0.257  0.634  0.336
H  0.257  0.866  0.336
H  0.364  0.709  0.014
H  0.364  0.791  0.014
H  0.381  0.209  0.630
H  0.381  0.291  0.630
H  0.393  0.642  0.465
H  0.393  0.858  0.465
H  0.607  0.142  0.535
H  0.607  0.358  0.535
H  0.619  0.709  0.370
H  0.619  0.791  0.370
H  0.636  0.209  0.986
H  0.636  0.291  0.986
H  0.743  0.134  0.664
H  0.743  0.366  0.664
H  0.757  0.634  0.164
H  0.757  0.866  0.164
H  0.864  0.709  0.486
H  0.864  0.791  0.486
H  0.881  0.209  0.870
H  0.881  0.291  0.870
H  0.893  0.642  0.035
H  0.893  0.858  0.035
O  0.032  0.081  0.176
O  0.032  0.419  0.176
O  0.114  0.750  0.262
O  0.119  0.586  0.412
O  0.119  0.914  0.412
O  0.134  0.250  0.385
O  0.146  0.669  0.814
O  0.146  0.831  0.814
O  0.170  0.168  0.852
O  0.170  0.332  0.852
O  0.190  0.535  0.859
O  0.190  0.965  0.859
O  0.310  0.035  0.359
O  0.310  0.465  0.359
O  0.330  0.668  0.352
O  0.330  0.832  0.352
O  0.354  0.169  0.314
O  0.354  0.331  0.314
O  0.366  0.750  0.885
O  0.381  0.086  0.912
O  0.381  0.414  0.912
O  0.386  0.250  0.762
O  0.468  0.581  0.676
O  0.468  0.919  0.676
O  0.532  0.081  0.324
O  0.532  0.419  0.324
O  0.614  0.750  0.238
O  0.619  0.586  0.088
O  0.619  0.914  0.088
O  0.634  0.250  0.115
O  0.646  0.669  0.686
O  0.646  0.831  0.686
O  0.670  0.168  0.648
O  0.670  0.332  0.648
O  0.690  0.535  0.641
O  0.690  0.965  0.641
O  0.810  0.035  0.141
O  0.810  0.465  0.141
O  0.830  0.668  0.148
O  0.830  0.832  0.148
O  0.854  0.169  0.186
O  0.854  0.331  0.186
O  0.866  0.750  0.615
O  0.881  0.086  0.588
O  0.881  0.414  0.588
O  0.886  0.250  0.738
O  0.968  0.581  0.824
O  0.968  0.919  0.824

Electronic total energy, eV/atom: -5.910

---

Record 3
Material: Sr2ZrCdCl
Method: DFT, GGA-PBEsol
State: optimized geometry

abc: 5.449 5.449 5.565
angles: 90.00 90.00 90.00
Sites, in units of the cell vectors:
Sr  0.000  0.500  0.000
Sr  0.500  0.000  0.000
Zr  0.000  0.000  0.500
Cd  0.500  0.500  0.500
Cl  0.500  0.500  0.000

Electronic total energy, eV/atom: -3.172

---

Record 4
Material: CuH
Method: DFT, GGA-PBEsol
State: optimized geometry

abc: 2.812 2.812 4.465
angles: 90.00 90.00 120.00
Sites, in units of the cell vectors:
Cu  0.333  0.667  0.000
Cu  0.667  0.333  0.500
H  0.333  0.667  0.617
H  0.667  0.333  0.117

Electronic total energy, eV/atom: -3.715

---

Record 5
Material: TlAg2W
Method: DFT, GGA-PBEsol
State: optimized geometry

abc: 5.333 5.333 2.780
angles: 90.00 90.00 115.88
Sites, in units of the cell vectors:
Tl  0.000  0.000  0.000
Ag  0.000  0.500  0.500
Ag  0.500  0.000  0.500
W  0.500  0.500  0.000

E above lowest polymorph, kJ per mole of atoms: 0.00
ΔE_f, kcal/mol of atoms: 15.45

---

Record 6
Material: Sr2ZnFeW
Method: DFT, GGA-PBEsol
State: optimized geometry

abc: 5.453 5.453 4.564
angles: 90.00 90.00 90.00
Sites, in units of the cell vectors:
Sr  0.000  0.500  0.000
Sr  0.500  0.000  0.000
Zn  0.000  0.000  0.500
Fe  0.000  0.000  0.000
W  0.500  0.500  0.500

ΔE_f, kcal/mol of atoms: 34.50

---

Record 7
Material: NbTe2IO
Method: DFT, GGA-PBEsol
State: optimized geometry

abc: 4.430 4.430 5.817
angles: 90.00 90.00 90.00
Sites, in units of the cell vectors:
Nb  0.000  0.000  0.000
Te  0.000  0.500  0.500
Te  0.500  0.000  0.500
I  0.500  0.500  0.000
O  0.500  0.500  0.500

Electronic total energy, eV/atom: -4.561

---

Record 8
Material: ZrTaSi2
Method: DFT, GGA-PBEsol
State: optimized geometry

abc: 4.506 4.506 4.506
angles: 60.00 60.00 60.00
Sites, in units of the cell vectors:
Zr  0.000  0.000  0.000
Ta  0.250  0.250  0.250
Si  0.500  0.500  0.500
Si  0.750  0.750  0.750

E above lowest polymorph, kJ per mole of atoms: 79.38